Record 1
DFT (PBE-GGA) results for a relaxed structure of Ba2PaNiS5.

Summary:
Calculated density, g/cm³: 5.09
Magnetic moment, μB per cell: 1.84
ΔE_f (raw), eV/atom: -1.5989

Lattice parameters (Å, degrees): 4.102 9.056 13.064 90.00 90.00 103.09
Last column: magnetic moment on the atom in μB.
Fractional coordinates of all 18 atoms:
Ba 0.885 0.770 0.843  0.00
Ba 0.119 0.237 0.697  0.00
Ba 0.115 0.230 0.343  0.00
Ba 0.881 0.763 0.197  0.00
Pa 0.811 0.622 0.522  -0.02
Pa 0.189 0.378 0.022  -0.02
Ni 0.568 0.135 0.924  0.65
Ni 0.432 0.865 0.424  0.65
S 0.338 0.675 0.020  0.00
S 0.695 0.389 0.884  0.02
S 0.503 0.006 0.774  0.06
S 0.306 0.613 0.660  0.00
S 0.957 0.914 0.499  0.08
S 0.662 0.325 0.520  0.00
S 0.305 0.611 0.384  0.02
S 0.497 0.994 0.274  0.06
S 0.694 0.387 0.160  0.00
S 0.043 0.086 0.999  0.08



Record 2
DFT (PBE-GGA) results for a relaxed structure of DyHoInCo.

Summary:
Calculated density, g/cm³: 9.01
ΔH_f (0 K), eV per atom: -0.2032
Polymorph energy (0 for the lowest one), kcal/mol of atoms: 2.741
Magnetic moment, μB per cell: 1.24

Lattice parameters (Å, degrees): 5.073 5.073 5.073 60.00 60.00 60.00
Last column: magnetic moment on the atom in μB.
Fractional coordinates of all 4 atoms:
In 0.750 0.750 0.750  0.05
Co 0.250 0.250 0.250  1.44
Ho 0.000 0.000 0.000  -0.11
Dy 0.500 0.500 0.500  -0.11



Record 3
DFT (PBE-GGA) results for a relaxed structure of BeRePb2.

Summary:
Calculated density, g/cm³: 12.63
ΔH_f (0 K), eV per atom: 1.1437
Magnetic moment, μB per cell: 0.00

Lattice parameters (Å, degrees): 4.960 4.960 5.222 83.61 83.61 38.91
Fractional coordinates of all 4 atoms:
Pb 0.987 0.987 0.003
Pb 0.513 0.513 0.497
Re 0.250 0.250 0.250
Be 0.750 0.750 0.750



no.,uncorrected energy (eV/atom)
1,-6.017
2,-4.959
3,-4.754